[1]
VASP calculation (PBE) on crystalline CdTcP2 at its relaxed geometry.

Summary:
ΔH_f (0 K) = 0.084 eV/atom

a b c (Å): 3.090 3.090 7.097
angles (deg): 90.00 90.00 90.00
Positions (direct):
Cd (0.000, 0.000, 0.000)
Tc (0.500, 0.500, 0.708)
P (0.000, 0.000, 0.563)
P (0.500, 0.500, 0.366)

---

[2]
VASP calculation (PBE) on crystalline NaSmSb2 at its relaxed geometry.

Summary:
Formation energy without anion corrections = -0.568 eV/atom

a b c (Å): 6.888 6.888 6.888
angles (deg): 40.92 40.92 40.92
Positions (direct):
Na (0.000, 0.000, 0.000)
Sm (0.181, 0.181, 0.181)
Sb (0.598, 0.598, 0.598)
Sb (0.758, 0.758, 0.758)

---

[3]
VASP calculation (PBE) on crystalline SrEuMgGa at its relaxed geometry.

Summary:
ΔH_f (0 K) = -0.219 eV/atom

a b c (Å): 5.574 5.574 5.574
angles (deg): 60.00 60.00 60.00
Positions (direct):
Sr (0.000, 0.000, 0.000)
Eu (0.500, 0.500, 0.500)
Mg (0.250, 0.250, 0.250)
Ga (0.750, 0.750, 0.750)

---

[4]
VASP calculation (PBE) on crystalline PmSiIr at its relaxed geometry.

Summary:
Formation energy without anion corrections = -0.412 eV/atom

a b c (Å): 4.543 4.543 4.543
angles (deg): 60.00 60.00 60.00
Positions (direct):
Pm (0.000, 0.000, 0.000)
Si (0.500, 0.500, 0.500)
Ir (0.250, 0.250, 0.250)

---

[5]
VASP calculation (PBE) on crystalline MoRu at its relaxed geometry.

Summary:
ΔH_f (0 K) = 0.050 eV/atom

a b c (Å): 5.275 5.275 6.546
angles (deg): 103.70 103.70 30.37
Positions (direct):
Mo (0.000, 0.000, 0.000)
Mo (0.060, 0.060, 0.615)
Mo (0.684, 0.684, 0.334)
Ru (0.337, 0.337, 0.671)
Ru (0.397, 0.397, 0.279)
Ru (0.729, 0.729, 0.945)

---

[6]
VASP calculation (PBE) on crystalline SnP2O9 at its relaxed geometry.

Summary:
Formation energy without anion corrections = -1.308 eV/atom

a b c (Å): 5.099 5.099 14.735
angles (deg): 93.34 93.34 59.94
Positions (direct):
Sn (0.000, 0.500, 0.000)
Sn (0.500, 0.000, 0.500)
P (0.152, 0.655, 0.388)
P (0.345, 0.848, 0.112)
P (0.655, 0.152, 0.888)
P (0.848, 0.345, 0.612)
O (0.076, 0.155, 0.083)
O (0.138, 0.628, 0.280)
O (0.155, 0.076, 0.583)
O (0.198, 0.353, 0.420)
O (0.295, 0.582, 0.082)
O (0.353, 0.198, 0.920)
O (0.372, 0.862, 0.220)
O (0.402, 0.598, 0.750)
O (0.418, 0.705, 0.418)
O (0.582, 0.295, 0.582)
O (0.598, 0.402, 0.250)
O (0.628, 0.138, 0.780)
O (0.647, 0.802, 0.080)
O (0.705, 0.418, 0.918)
O (0.802, 0.647, 0.580)
O (0.845, 0.924, 0.417)
O (0.862, 0.372, 0.720)
O (0.924, 0.845, 0.917)

---

[7]
VASP calculation (PBE) on crystalline RbPd at its relaxed geometry.

Summary:
ΔH_f (0 K) = 0.792 eV/atom

a b c (Å): 5.113 5.113 5.113
angles (deg): 60.00 60.00 60.00
Positions (direct):
Rb (0.000, 0.000, 0.000)
Pd (0.750, 0.750, 0.750)

---

[8]
VASP calculation (PBE) on crystalline HgH2PdCl8 at its relaxed geometry.

Summary:
VASP energy = -2.699 eV per atom

a b c (Å): 6.786 6.910 7.479
angles (deg): 88.83 73.42 80.39
Positions (direct):
Hg (0.000, 0.000, 0.000)
H (0.256, 0.650, 0.721)
H (0.744, 0.350, 0.279)
Pd (0.000, 0.000, 0.500)
Cl (0.195, 0.129, 0.669)
Cl (0.216, 0.102, 0.222)
Cl (0.225, 0.695, 0.465)
Cl (0.273, 0.628, 0.895)
Cl (0.727, 0.372, 0.105)
Cl (0.775, 0.305, 0.535)
Cl (0.784, 0.898, 0.778)
Cl (0.805, 0.871, 0.331)